1.
{
  "formula": "Ir2Ru2Pt",
  "functional": "PBE",
  "state": "relaxed",
  "spacegroup": "I4/mmm (139)",
  "total_magnetization_mub_per_cell": 0.85,
  "total_energy_ev_per_atom": -8.15,
  "vol_a3_per_atom": 14.96,
  "lattice": [[3.329, 0.000, 0.000], [0.000, 3.329, 0.000], [-1.664, -1.664, 6.751]],
  "species": ["Ir", "Ir", "Ru", "Ru", "Pt"],
  "fractional_positions": [[0.801, 0.801, 0.602], [0.199, 0.199, 0.398], [0.605, 0.605, 0.210], [0.395, 0.395, 0.790], [0.000, 0.000, 0.000]]
}


2.
{
  "formula": "Li4Ga3Cu2",
  "functional": "PBE",
  "state": "relaxed",
  "spacegroup": "C2/m (12)",
  "total_magnetization_mub_per_cell": 0.00,
  "total_energy_ev_per_atom": -3.00,
  "vol_a3_per_atom": 14.07,
  "lattice": [[-1.858, -2.339, -3.011], [0.778, -5.094, 0.490], [-6.154, -1.569, 2.028]],
  "species": ["Li", "Li", "Li", "Li", "Ga", "Ga", "Ga", "Cu", "Cu"],
  "fractional_positions": [[0.659, 0.576, 0.106], [0.001, 0.339, 0.659], [0.999, 0.661, 0.341], [0.341, 0.424, 0.894], [0.327, 0.778, 0.568], [0.000, 0.000, 0.000], [0.673, 0.222, 0.432], [0.338, 0.096, 0.229], [0.662, 0.904, 0.771]]
}


3.
{
  "formula": "NdTc2B6",
  "functional": "PBE",
  "state": "relaxed",
  "spacegroup": "Immm (71)",
  "total_magnetization_mub_per_cell": 0.00,
  "total_energy_ev_per_atom": -7.73,
  "vol_a3_per_atom": 10.35,
  "lattice": [[-0.049, 2.960, 1.197], [-5.452, 1.672, -0.097], [-1.964, -0.466, 5.334]],
  "species": ["Nd", "Tc", "Tc", "B", "B", "B", "B", "B", "B"],
  "fractional_positions": [[0.500, 0.500, 0.500], [0.338, 0.162, 0.162], [0.662, 0.838, 0.838], [0.192, 0.567, 0.049], [0.808, 0.433, 0.951], [0.808, 0.951, 0.433], [0.000, 0.146, 0.854], [0.000, 0.854, 0.146], [0.192, 0.049, 0.567]]
}


4.
{
  "formula": "Pm2HoTmBi4",
  "functional": "PBE",
  "state": "relaxed",
  "spacegroup": "P2/m (10)",
  "total_magnetization_mub_per_cell": 0.00,
  "total_energy_ev_per_atom": -5.13,
  "vol_a3_per_atom": 32.53,
  "lattice": [[-2.765, -0.865, 3.467], [-0.195, -7.548, -2.040], [5.885, 1.200, 4.993]],
  "species": ["Pm", "Pm", "Ho", "Tm", "Bi", "Bi", "Bi", "Bi"],
  "fractional_positions": [[0.500, 0.000, 0.500], [0.000, 0.500, 0.500], [0.000, 0.000, 0.000], [0.500, 0.500, 0.000], [0.500, 0.248, 0.241], [0.500, 0.752, 0.759], [0.000, 0.254, 0.759], [0.000, 0.746, 0.241]]
}


5.
{
  "formula": "RbSrSb3",
  "functional": "PBE",
  "state": "relaxed",
  "spacegroup": "Pm-3m (221)",
  "total_magnetization_mub_per_cell": 0.00,
  "total_energy_ev_per_atom": -2.81,
  "vol_a3_per_atom": 46.14,
  "lattice": [[-1.324, 0.448, -5.972], [-4.264, -4.365, 0.618], [-4.205, 4.286, 1.253]],
  "species": ["Sb", "Sb", "Sb", "Rb", "Sr"],
  "fractional_positions": [[0.000, 0.500, 0.000], [0.000, 0.000, 0.500], [0.500, 0.000, 0.000], [0.500, 0.500, 0.500], [0.000, 0.000, 0.000]]
}


6.
{
  "formula": "CsYHg2Cl",
  "functional": "PBE",
  "state": "relaxed",
  "spacegroup": "P4/mmm (123)",
  "total_magnetization_mub_per_cell": 1.09,
  "total_energy_ev_per_atom": -2.07,
  "vol_a3_per_atom": 74.98,
  "lattice": [[-0.505, -5.273, -2.352], [9.258, 1.779, -5.976], [3.198, -2.221, 4.293]],
  "species": ["Cs", "Y", "Hg", "Hg", "Cl"],
  "fractional_positions": [[0.000, 0.500, 0.000], [0.000, 0.000, 0.000], [0.000, 0.000, 0.500], [0.500, 0.000, 0.000], [0.500, 0.500, 0.500]]
}


7.
{
  "formula": "CoNi2As",
  "functional": "PBE",
  "state": "relaxed",
  "spacegroup": "P2/m (10)",
  "total_magnetization_mub_per_cell": 1.91,
  "total_energy_ev_per_atom": -5.79,
  "vol_a3_per_atom": 12.12,
  "lattice": [[3.783, 0.000, 0.000], [0.000, 2.693, 0.033], [0.000, 1.493, 4.777]],
  "species": ["As", "Co", "Ni", "Ni"],
  "fractional_positions": [[0.500, 0.250, 0.250], [0.500, 0.750, 0.750], [0.000, 0.109, 0.002], [0.000, 0.391, 0.498]]
}


8.
{
  "formula": "Y3Er2Tm8",
  "functional": "PBE",
  "state": "relaxed",
  "spacegroup": "P-1 (2)",
  "total_magnetization_mub_per_cell": 0.00,
  "total_energy_ev_per_atom": -4.78,
  "vol_a3_per_atom": 31.45,
  "lattice": [[-8.848, -8.945, -6.406], [5.422, 3.245, 7.037], [-6.626, 16.307, 4.522]],
  "species": ["Y", "Y", "Y", "Y", "Y", "Y", "Er", "Er", "Er", "Er", "Tm", "Tm", "Tm", "Tm", "Tm", "Tm", "Tm", "Tm", "Tm", "Tm", "Tm", "Tm", "Tm", "Tm", "Tm", "Tm"],
  "fractional_positions": [[0.688, 0.726, 0.219], [0.500, 0.000, 0.500], [0.988, 0.491, 0.727], [0.012, 0.509, 0.273], [0.000, 0.000, 0.000], [0.312, 0.274, 0.781], [0.627, 0.332, 0.117], [0.707, 0.610, 0.567], [0.293, 0.390, 0.433], [0.373, 0.668, 0.883], [0.810, 0.986, 0.065], [0.829, 0.029, 0.407], [0.794, 0.815, 0.751], [0.539, 0.214, 0.902], [0.395, 0.778, 0.265], [0.630, 0.436, 0.382], [0.037, 0.703, 0.411], [0.983, 0.386, 0.916], [0.017, 0.614, 0.084], [0.963, 0.297, 0.589], [0.206, 0.185, 0.249], [0.605, 0.222, 0.735], [0.461, 0.786, 0.098], [0.370, 0.564, 0.618], [0.171, 0.971, 0.593], [0.190, 0.014, 0.935]]
}


9.
{
  "formula": "V4Fe2Pd",
  "functional": "PBE",
  "state": "relaxed",
  "spacegroup": "I4/mmm (139)",
  "total_magnetization_mub_per_cell": 2.29,
  "total_energy_ev_per_atom": -7.26,
  "vol_a3_per_atom": 17.39,
  "lattice": [[4.572, 0.000, 0.000], [0.000, 4.572, 0.000], [2.286, 2.286, 5.823]],
  "species": ["Fe", "Fe", "Pd", "V", "V", "V", "V"],
  "fractional_positions": [[0.396, 0.396, 0.208], [0.604, 0.604, 0.792], [0.000, 0.000, 0.000], [0.214, 0.214, 0.571], [0.786, 0.786, 0.429], [0.000, 0.500, 0.000], [0.500, 0.000, 0.000]]
}


10.
{
  "formula": "CsBeTc2",
  "functional": "PBE",
  "state": "relaxed",
  "spacegroup": "I-42d (122)",
  "total_magnetization_mub_per_cell": 0.00,
  "total_energy_ev_per_atom": -4.82,
  "vol_a3_per_atom": 21.27,
  "lattice": [[4.454, 0.000, 0.000], [0.000, 4.454, 0.000], [2.227, 2.227, 8.578]],
  "species": ["Cs", "Cs", "Be", "Be", "Tc", "Tc", "Tc", "Tc"],
  "fractional_positions": [[0.000, 0.000, 0.000], [0.750, 0.250, 0.500], [0.500, 0.500, 0.000], [0.250, 0.750, 0.500], [0.493, 0.125, 0.250], [0.257, 0.625, 0.250], [0.375, 0.507, 0.750], [0.875, 0.743, 0.750]]
}


11.
{
  "formula": "CaPH2Rh2",
  "functional": "PBE",
  "state": "relaxed",
  "spacegroup": "P2_1/m (11)",
  "total_magnetization_mub_per_cell": 0.00,
  "total_energy_ev_per_atom": -5.33,
  "vol_a3_per_atom": 13.82,
  "lattice": [[5.582, 0.000, 0.000], [0.000, 5.656, 0.961], [0.000, -0.920, 5.098]],
  "species": ["Ca", "Ca", "P", "P", "H", "H", "H", "H", "Rh", "Rh", "Rh", "Rh"],
  "fractional_positions": [[0.750, 0.371, 0.760], [0.250, 0.629, 0.240], [0.250, 0.170, 0.906], [0.750, 0.830, 0.094], [0.250, 0.233, 0.438], [0.250, 0.686, 0.702], [0.750, 0.767, 0.562], [0.750, 0.314, 0.298], [0.497, 0.125, 0.252], [0.003, 0.125, 0.252], [0.997, 0.875, 0.748], [0.503, 0.875, 0.748]]
}


12.
{
  "formula": "La5Pr5Sn6",
  "functional": "PBE",
  "state": "relaxed",
  "spacegroup": "Amm2 (38)",
  "total_magnetization_mub_per_cell": 0.03,
  "total_energy_ev_per_atom": -5.22,
  "vol_a3_per_atom": 33.59,
  "lattice": [[6.939, 0.000, 0.000], [0.000, 8.214, -4.694], [0.000, -0.056, 9.460]],
  "species": ["La", "La", "La", "La", "La", "Pr", "Pr", "Pr", "Pr", "Pr", "Sn", "Sn", "Sn", "Sn", "Sn", "Sn"],
  "fractional_positions": [[0.749, 0.334, 0.667], [0.749, 0.667, 0.334], [0.251, 0.667, 0.334], [0.251, 0.334, 0.667], [0.000, 0.243, 0.243], [0.000, 0.756, 0.000], [0.000, 0.000, 0.756], [0.500, 0.757, 0.757], [0.500, 0.244, 0.999], [0.500, 0.999, 0.244], [0.000, 0.610, 0.610], [0.000, 0.392, 0.999], [0.000, 0.999, 0.392], [0.500, 0.390, 0.390], [0.500, 0.609, 0.000], [0.500, 0.000, 0.609]]
}